*w*
Below is a crystal of LaZrBr relaxed with PBEsol, with properties calculated at the meta-GGA SCAN level.

a = 3.373 Å, b = 3.373 Å, c = 13.171 Å
α = 90.00°, β = 90.00°, γ = 90.00°
Space group I4mm (No. 107)
Asymmetric unit:
La1 0.000 0.000 0.000 x2
Zr1 0.000 0.000 0.313 x2
Br1 0.000 0.000 0.686 x2

*x*
Below is a crystal of LaZrBr relaxed with PBEsol, with properties calculated at the meta-GGA SCAN level.

a = 3.4749 Å, b = 3.4749 Å, c = 7.4579 Å
α = 90.00°, β = 90.00°, γ = 120.00°
Space group P3m1 (No. 156)
Asymmetric unit:
La1 0.0000 0.0000 0.0000 x1
Zr1 0.3333 0.6667 0.6480 x1
Br1 0.6667 0.3333 0.3862 x1

Which of them is most stable, and which least? Most stable: *x*; least stable: *w*.

*w*
Below is a crystal of LiBr2 relaxed with PBEsol, with properties calculated at the meta-GGA SCAN level.

a = 4.266 Å, b = 16.110 Å, c = 4.831 Å
α = 90.00°, β = 90.00°, γ = 90.00°
Space group Cmcm (No. 63)
Asymmetric unit:
Li1 0.000 0.233 0.250 x4
Br1 0.000 0.182 0.750 x4
Br2 0.000 0.477 0.750 x4

*x*
Below is a crystal of LiBr2 relaxed with PBEsol, with properties calculated at the meta-GGA SCAN level.

a = 3.9887 Å, b = 3.9887 Å, c = 4.9604 Å
α = 90.00°, β = 90.00°, γ = 120.00°
Space group P-3m1 (No. 164)
Asymmetric unit:
Li1 0.0000 0.0000 0.0000 x1
Br1 0.3333 0.6667 0.2583 x2

*y*
Below is a crystal of LiBr2 relaxed with PBEsol, with properties calculated at the meta-GGA SCAN level.

a = 11.229 Å, b = 3.803 Å, c = 7.739 Å
α = 90.00°, β = 116.49°, γ = 90.00°
Space group C2/m (No. 12)
Asymmetric unit:
Li1 0.098 0.000 0.376 x4
Br1 0.055 0.500 0.893 x4
Br2 0.178 0.500 0.636 x4

Which of them is most stable, and which least? Most stable: *w*; least stable: *x*.

*w*
Below is a crystal of Li2MgBr relaxed with PBEsol, with properties calculated at the meta-GGA SCAN level.

a = 3.706 Å, b = 3.632 Å, c = 6.492 Å
α = 90.00°, β = 103.78°, γ = 90.00°
Space group P2/m (No. 10)
Asymmetric unit:
Li1 0.118 0.000 0.246 x2
Mg1 0.500 0.500 0.000 x1
Br1 0.500 0.500 0.500 x1

*x*
Below is a crystal of Li2MgBr relaxed with PBEsol, with properties calculated at the meta-GGA SCAN level.

a = 6.033 Å, b = 3.479 Å, c = 8.686 Å
α = 90.00°, β = 103.27°, γ = 90.00°
Space group C2/m (No. 12)
Asymmetric unit:
Li1 0.231 0.000 0.194 x4
Mg1 0.000 0.000 0.500 x2
Br1 0.000 0.500 0.000 x2

*y*
Below is a crystal of Li2MgBr relaxed with PBEsol, with properties calculated at the meta-GGA SCAN level.

a = 3.747 Å, b = 4.057 Å, c = 5.827 Å
α = 90.00°, β = 90.00°, γ = 90.00°
Space group Pmmm (No. 47)
Asymmetric unit:
Li1 0.000 0.000 0.000 x1
Li2 0.500 0.000 0.500 x1
Mg1 0.000 0.500 0.500 x1
Br1 0.500 0.500 0.000 x1

Which of them is most stable, and which least? Most stable: *x*; least stable: *y*.

*w*
Below is a crystal of Li2MgBr4 relaxed with PBEsol, with properties calculated at the meta-GGA SCAN level.

a = 7.786 Å, b = 7.790 Å, c = 10.422 Å
α = 90.00°, β = 90.00°, γ = 90.00°
Space group Imma (No. 74)
Asymmetric unit:
Li1 0.000 0.000 0.000 x4
Li2 0.250 0.250 0.250 x4
Mg1 0.250 0.250 0.750 x4
Br1 0.000 0.007 0.743 x8
Br2 0.236 0.250 0.999 x8

*x*
Below is a crystal of Li2MgBr4 relaxed with PBEsol, with properties calculated at the meta-GGA SCAN level.

a = 7.682 Å, b = 10.881 Å, c = 3.817 Å
α = 90.00°, β = 90.00°, γ = 90.00°
Space group Cmmm (No. 65)
Asymmetric unit:
Li1 0.250 0.250 0.000 x4
Mg1 0.000 0.000 0.500 x2
Br1 0.000 0.244 0.500 x4
Br2 0.242 0.000 0.000 x4

Which of them is most stable, and which least? Most stable: *x*; least stable: *w*.

*w*
Below is a crystal of Li6Br3N relaxed with PBEsol, with properties calculated at the meta-GGA SCAN level.

a = 11.291 Å, b = 11.413 Å, c = 22.414 Å
α = 90.00°, β = 90.00°, γ = 90.00°
Space group Ibca (No. 73)
Asymmetric unit:
Li1 0.066 0.108 0.057 x16
Li2 0.108 0.111 0.464 x16
Li3 0.113 0.067 0.946 x16
Li4 0.135 0.141 0.219 x16
Li5 0.146 0.178 0.807 x16
Li6 0.183 0.144 0.693 x16
Br1 0.000 0.250 0.137 x8
Br2 0.000 0.250 0.386 x8
Br3 0.031 0.000 0.750 x8
Br4 0.229 0.011 0.128 x16
Br5 0.250 0.229 0.000 x8
N1 0.000 0.000 0.000 x8
N2 0.250 0.250 0.250 x8

*x*
Below is a crystal of Li6Br3N relaxed with PBEsol, with properties calculated at the meta-GGA SCAN level.

a = 8.272 Å, b = 7.836 Å, c = 6.670 Å
α = 90.00°, β = 123.60°, γ = 90.00°
Space group C2/m (No. 12)
Asymmetric unit:
Li1 0.144 0.179 0.224 x8
Li2 0.145 0.000 0.854 x4
Br1 0.000 0.236 0.500 x4
Br2 0.000 0.500 0.000 x2
N1 0.000 0.000 0.000 x2

*y*
Below is a crystal of Li6Br3N relaxed with PBEsol, with properties calculated at the meta-GGA SCAN level.

a = 6.164 Å, b = 6.285 Å, c = 10.751 Å
α = 90.00°, β = 124.58°, γ = 90.00°
Space group P2_1/c (No. 14)
Asymmetric unit:
Li1 0.088 0.237 0.423 x4
Li2 0.216 0.670 0.965 x4
Li3 0.300 0.066 0.700 x4
Br1 0.248 0.024 0.257 x4
Br2 0.500 0.000 0.000 x2
N1 0.000 0.000 0.500 x2

Which of them is most stable, and which least? Most stable: *w*; least stable: *x*.

*w*
Below is a crystal of LiNiBr2 relaxed with PBEsol, with properties calculated at the meta-GGA SCAN level.

a = 13.152 Å, b = 3.509 Å, c = 3.515 Å
α = 90.00°, β = 90.09°, γ = 90.00°
Space group Cm (No. 8)
Asymmetric unit:
Li1 0.000 0.000 0.000 x2
Ni1 0.355 0.000 0.494 x2
Br1 0.041 0.500 0.500 x2
Br2 0.306 0.500 0.997 x2

*x*
Below is a crystal of LiNiBr2 relaxed with PBEsol, with properties calculated at the meta-GGA SCAN level.

a = 3.477 Å, b = 3.477 Å, c = 14.237 Å
α = 90.00°, β = 90.00°, γ = 90.00°
Space group I-4m2 (No. 119)
Asymmetric unit:
Li1 0.000 0.000 0.000 x2
Ni1 0.000 0.500 0.250 x2
Br1 0.000 0.000 0.500 x2
Br2 0.000 0.500 0.750 x2

Which of them is most stable, and which least? Most stable: *w*; least stable: *x*.

*w*
Below is a crystal of Li2PbBr relaxed with PBEsol, with properties calculated at the meta-GGA SCAN level.

a = 3.961 Å, b = 5.539 Å, c = 8.075 Å
α = 90.00°, β = 90.00°, γ = 90.00°
Space group Cmmm (No. 65)
Asymmetric unit:
Li1 0.000 0.000 0.207 x4
Pb1 0.000 0.500 0.500 x2
Br1 0.000 0.500 0.000 x2

*x*
Below is a crystal of Li2PbBr relaxed with PBEsol, with properties calculated at the meta-GGA SCAN level.

a = 6.265 Å, b = 8.230 Å, c = 3.420 Å
α = 90.00°, β = 90.00°, γ = 90.00°
Space group Cmmm (No. 65)
Asymmetric unit:
Li1 0.250 0.250 0.000 x4
Pb1 0.000 0.000 0.500 x2
Br1 0.000 0.500 0.500 x2

*y*
Below is a crystal of Li2PbBr relaxed with PBEsol, with properties calculated at the meta-GGA SCAN level.

a = 4.545 Å, b = 4.545 Å, c = 8.818 Å
α = 90.00°, β = 90.00°, γ = 90.00°
Space group I4/mmm (No. 139)
Asymmetric unit:
Li1 0.000 0.500 0.250 x4
Pb1 0.000 0.000 0.000 x2
Br1 0.000 0.000 0.500 x2

Which of them is most stable, and which least? Most stable: *w*; least stable: *y*.

*w*
Below is a crystal of LiPb2Br relaxed with PBEsol, with properties calculated at the meta-GGA SCAN level.

a = 5.128 Å, b = 5.128 Å, c = 8.108 Å
α = 90.00°, β = 90.00°, γ = 90.00°
Space group I-4m2 (No. 119)
Asymmetric unit:
Li1 0.000 0.000 0.000 x2
Pb1 0.000 0.000 0.500 x2
Pb2 0.000 0.500 0.250 x2
Br1 0.000 0.500 0.750 x2

*x*
Below is a crystal of LiPb2Br relaxed with PBEsol, with properties calculated at the meta-GGA SCAN level.

a = 6.273 Å, b = 3.669 Å, c = 9.567 Å
α = 90.00°, β = 102.82°, γ = 90.00°
Space group Cm (No. 8)
Asymmetric unit:
Li1 0.000 0.000 0.000 x2
Pb1 0.236 0.000 0.715 x2
Pb2 0.478 0.000 0.442 x2
Br1 0.207 0.500 0.125 x2

Which of them is most stable, and which least? Most stable: *x*; least stable: *w*.